NdSi3Ni3: optimized geometry, PBE-GGA.

E_tot: -247.1 eV per cell
theoretical density: 5.97 g cm⁻³
total moment: 0.00 Bohr magnetons per cell
E_form (uncorrected): -0.401 eV per atom
relative energy among the computed polymorphs: 0.0000 eV/atom

Cell and atoms, written as CIF:
```
data_NdSi3Ni3
_space_group_name_H-M_alt 'R -3'
_space_group_IT_number 148
_space_group_name_Hall '-R 3'
_cell_length_a 6.0981
_cell_length_b 6.0981
_cell_length_c 20.9511
_cell_angle_alpha 90.00
_cell_angle_beta 90.00
_cell_angle_gamma 120.00
loop_
_atom_site_label
_atom_site_fract_x
_atom_site_fract_y
_atom_site_fract_z
Nd1 0.0000 0.0000 0.1671
Si1 0.0294 0.7757 0.5922
Ni1 0.0460 0.7640 0.7039
```

---

K3LiFe: optimized geometry, PBE-GGA.

E_tot: -9.6 eV per cell
theoretical density: 1.08 g cm⁻³
total moment: 2.47 Bohr magnetons per cell
calculated formation energy: 0.8116 eV/atom
relative energy among the computed polymorphs: 0.0000 eV/atom

Cell and atoms, written as CIF:
```
data_K3LiFe
_space_group_name_H-M_alt 'P m -3 m'
_space_group_IT_number 221
_space_group_name_Hall '-P 4 2 3'
_cell_length_a 6.5099
_cell_length_b 6.5099
_cell_length_c 6.5099
_cell_angle_alpha 90.00
_cell_angle_beta 90.00
_cell_angle_gamma 90.00
loop_
_atom_site_label
_atom_site_fract_x
_atom_site_fract_y
_atom_site_fract_z
K1 0.0000 0.0000 0.5000
Li1 0.5000 0.5000 0.5000
Fe1 0.0000 0.0000 0.0000
```

---

LiLaGe: optimized geometry, PBE-GGA.

E_tot: -26.9 eV per cell
theoretical density: 5.21 g cm⁻³
total moment: 0.00 Bohr magnetons per cell
calculated formation energy: -0.6691 eV/atom

Cell and atoms, written as CIF:
```
data_LiLaGe
_space_group_name_H-M_alt 'P 4/n m m'
_space_group_IT_number 129
_cell_length_a 4.4770
_cell_length_b 4.4770
_cell_length_c 6.9418
_cell_angle_alpha 90.00
_cell_angle_beta 90.00
_cell_angle_gamma 90.00
loop_
_space_group_symop_operation_xyz
'x,y,z'
'-x,-y,-z'
'-y+1/2,x,z'
'y+1/2,-x,-z'
'-x+1/2,-y+1/2,z'
'x+1/2,y+1/2,-z'
'y,-x+1/2,z'
'-y,x+1/2,-z'
'x+1/2,-y,-z'
'-x+1/2,y,z'
'-y,-x,-z'
'y,x,z'
'-x,y+1/2,-z'
'x,-y+1/2,z'
'y+1/2,x+1/2,-z'
'-y+1/2,-x+1/2,z'
loop_
_atom_site_label
_atom_site_fract_x
_atom_site_fract_y
_atom_site_fract_z
Li1 0.2500 0.7500 0.0000
La1 0.2500 0.2500 0.3159
Ge1 0.2500 0.2500 0.7733
```

---

ZrNb2ZnHg: optimized geometry, PBE-GGA.

E_tot: -23.4 eV per cell
theoretical density: 7.37 g cm⁻³
total moment: 0.01 Bohr magnetons per cell
calculated formation energy: 1.3818 eV/atom

Cell and atoms, written as CIF:
```
data_ZrNb2ZnHg
_space_group_name_H-M_alt 'P 4/m m m'
_space_group_IT_number 123
_space_group_name_Hall '-P 4 2'
_cell_length_a 5.1382
_cell_length_b 5.1382
_cell_length_c 4.6359
_cell_angle_alpha 90.00
_cell_angle_beta 90.00
_cell_angle_gamma 90.00
loop_
_atom_site_label
_atom_site_fract_x
_atom_site_fract_y
_atom_site_fract_z
Zr1 0.0000 0.0000 0.0000
Nb1 0.0000 0.5000 0.5000
Zn1 0.5000 0.5000 0.0000
Hg1 0.5000 0.5000 0.5000
```